Here is crystalline K3NaTh3Te8 at its relaxed geometry from Alexandria. Energies are from PBE.

a = 9.2127 Å, b = 9.2126 Å, c = 9.8171 Å
α = 118.00°, β = 90.00°, γ = 120.00°
Fractional coordinates of all 15 atoms:
K1 0.0000 0.0000 0.0000
K2 0.0000 0.5000 0.0000
K3 0.5000 0.5000 0.0000
Na1 0.0000 0.0000 0.5000
Th1 0.5000 0.0000 0.5000
Th2 0.5000 0.5000 0.5000
Th3 0.0000 0.5000 0.5000
Te1 0.2607 0.5215 0.2823
Te2 0.7393 0.4785 0.7177
Te3 0.7543 0.5087 0.2901
Te4 0.2457 0.4913 0.7099
Te5 0.7544 0.0359 0.2901
Te6 0.2456 0.9641 0.7099
Te7 0.2814 0.0359 0.2901
Te8 0.7186 0.9641 0.7099

- Total moment: 0.00 μB per formula unit
- Energy relative to the elements, uncorrected: -1180.2 meV/atom
- Symmetry: R-3m (166)
- VASP energy: -4.65 eV/atom